A) # TaZn2Tc, relaxed, DFT PBEsol
data_TaZn2Tc
_cell_length_a 5.2456
_cell_length_b 8.3946
_cell_length_c 2.6516
_cell_angle_alpha 90.00
_cell_angle_beta 90.00
_cell_angle_gamma 90.00
_space_group_name_H-M_alt 'C m m m'
_space_group_IT_number 65
_space_group_name_Hall '-C 2 2'
loop_
_atom_site_label
_atom_site_type_symbol
_atom_site_fract_x
_atom_site_fract_y
_atom_site_fract_z
Ta1 Ta 0.0000 0.0000 0.0000
Zn1 Zn 0.2500 0.2500 0.5000
Tc1 Tc 0.0000 0.5000 0.0000
# Size of the total moment, μB per formula unit: 0.0
# Theoretical density, g/cm³: 11.655
# DOS(E_F), states/eV/cell: 4.3



B) # TaZn2Tc, relaxed, DFT PBEsol
data_TaZn2Tc
_cell_length_a 6.1200
_cell_length_b 6.1200
_cell_length_c 6.1200
_cell_angle_alpha 90.00
_cell_angle_beta 90.00
_cell_angle_gamma 90.00
_space_group_name_H-M_alt 'F m -3 m'
_space_group_IT_number 225
_space_group_name_Hall '-F 4 2 3'
loop_
_atom_site_label
_atom_site_type_symbol
_atom_site_fract_x
_atom_site_fract_y
_atom_site_fract_z
Ta1 Ta 0.0000 0.0000 0.0000
Zn1 Zn 0.2500 0.2500 0.2500
Tc1 Tc 0.0000 0.0000 0.5000
# Size of the total moment, μB per formula unit: 0.0
# Theoretical density, g/cm³: 11.874
# DOS(E_F), states/eV/cell: 14.7



The calculated energies rank the structures as follows, beginning with the most stable: A), B).



A) # TaTl2Te, relaxed, DFT PBEsol
data_TaTl2Te
_cell_length_a 3.5969
_cell_length_b 5.3034
_cell_length_c 10.4774
_cell_angle_alpha 90.00
_cell_angle_beta 90.00
_cell_angle_gamma 90.00
_space_group_name_H-M_alt 'C m m 2'
_space_group_IT_number 35
_space_group_name_Hall 'C 2 -2'
loop_
_atom_site_label
_atom_site_type_symbol
_atom_site_fract_x
_atom_site_fract_y
_atom_site_fract_z
Ta1 Ta 0.0000 0.0000 0.0000
Tl1 Tl 0.0000 0.0000 0.5149
Tl2 Tl 0.0000 0.5000 0.7740
Te1 Te 0.0000 0.5000 0.1961
# Size of the total moment, μB per formula unit: 0.0
# Theoretical density, g/cm³: 11.919
# DOS(E_F), states/eV/cell: 4.0



B) # TaTl2Te, relaxed, DFT PBEsol
data_TaTl2Te
_cell_length_a 3.2760
_cell_length_b 4.8568
_cell_length_c 13.3371
_cell_angle_alpha 90.00
_cell_angle_beta 90.00
_cell_angle_gamma 90.00
_space_group_name_H-M_alt 'I m m 2'
_space_group_IT_number 44
_space_group_name_Hall 'I 2 -2'
loop_
_atom_site_label
_atom_site_type_symbol
_atom_site_fract_x
_atom_site_fract_y
_atom_site_fract_z
Ta1 Ta 0.0000 0.0000 0.0000
Tl1 Tl 0.0000 0.0000 0.5292
Tl2 Tl 0.0000 0.5000 0.6990
Te1 Te 0.0000 0.5000 0.3381
# Size of the total moment, μB per formula unit: 0.0
# Theoretical density, g/cm³: 11.226
# DOS(E_F), states/eV/cell: 5.2



The calculated energies rank the structures as follows, beginning with the most stable: A), B).